No. 1
# GGA-PBE Cs3TcCl6, relaxed
# Uncorrected energy in eV/f.u.: -38.32
# Symmetry: R-3
data_Cs3TcCl6
_chemical_formula_sum 'Cs6 Tc2 Cl12'
_space_group_name_H-M_alt 'P 1'
_space_group_IT_number 1
_cell_length_a 9.254
_cell_length_b 9.254
_cell_length_c 9.254
_cell_angle_alpha 91.01
_cell_angle_beta 91.01
_cell_angle_gamma 91.01
loop_
_space_group_symop_operation_xyz
'x,y,z'
loop_
_atom_site_label
_atom_site_fract_x
_atom_site_fract_y
_atom_site_fract_z
Cs1 0.064 0.749 0.565
Cs2 0.251 0.435 0.936
Cs3 0.435 0.936 0.251
Cs4 0.565 0.064 0.749
Cs5 0.749 0.565 0.064
Cs6 0.936 0.251 0.435
Tc1 0.000 0.000 0.000
Tc2 0.500 0.500 0.500
Cl1 0.048 0.748 0.939
Cl2 0.061 0.952 0.252
Cl3 0.252 0.061 0.952
Cl4 0.255 0.421 0.557
Cl5 0.421 0.557 0.255
Cl6 0.443 0.745 0.579
Cl7 0.557 0.255 0.421
Cl8 0.579 0.443 0.745
Cl9 0.745 0.579 0.443
Cl10 0.748 0.939 0.048
Cl11 0.939 0.048 0.748
Cl12 0.952 0.252 0.061

---

No. 2
# GGA-PBE ZnCu2Mo, relaxed
# Energy of formation in eV per atom: 0.657
# Symmetry: I-42d
data_ZnCu2Mo
_chemical_formula_sum 'Zn2 Cu4 Mo2'
_space_group_name_H-M_alt 'P 1'
_space_group_IT_number 1
_cell_length_a 5.426
_cell_length_b 5.426
_cell_length_c 5.426
_cell_angle_alpha 103.08
_cell_angle_beta 103.08
_cell_angle_gamma 123.18
loop_
_space_group_symop_operation_xyz
'x,y,z'
loop_
_atom_site_label
_atom_site_fract_x
_atom_site_fract_y
_atom_site_fract_z
Zn1 0.000 0.000 0.000
Zn2 0.750 0.250 0.500
Cu1 0.110 0.125 0.485
Cu2 0.375 0.890 0.015
Cu3 0.640 0.625 0.515
Cu4 0.875 0.360 0.985
Mo1 0.250 0.750 0.500
Mo2 0.500 0.500 0.000

---

No. 3
# GGA-PBE U2PN, relaxed
# Uncorrected energy in eV/f.u.: -39.38
# Symmetry: R3m
data_U2PN
_chemical_formula_sum 'U2 P1 N1'
_space_group_name_H-M_alt 'P 1'
_space_group_IT_number 1
_cell_length_a 6.488
_cell_length_b 6.488
_cell_length_c 6.488
_cell_angle_alpha 32.48
_cell_angle_beta 32.48
_cell_angle_gamma 32.48
loop_
_space_group_symop_operation_xyz
'x,y,z'
loop_
_atom_site_label
_atom_site_fract_x
_atom_site_fract_y
_atom_site_fract_z
U1 0.000 0.000 0.000
U2 0.135 0.135 0.135
P1 0.570 0.570 0.570
N1 0.399 0.399 0.399

---

No. 4
# GGA-PBE ZrPPd, relaxed
# Energy of formation in eV per atom: -0.986
# Symmetry: C2/m
data_ZrPPd
_chemical_formula_sum 'Zr2 P2 Pd2'
_space_group_name_H-M_alt 'P 1'
_space_group_IT_number 1
_cell_length_a 5.116
_cell_length_b 5.116
_cell_length_c 6.568
_cell_angle_alpha 122.24
_cell_angle_beta 122.24
_cell_angle_gamma 43.98
loop_
_space_group_symop_operation_xyz
'x,y,z'
loop_
_atom_site_label
_atom_site_fract_x
_atom_site_fract_y
_atom_site_fract_z
Zr1 0.071 0.071 0.331
Zr2 0.929 0.929 0.669
P1 0.351 0.351 0.319
P2 0.649 0.649 0.681
Pd1 0.326 0.326 0.915
Pd2 0.674 0.674 0.085

---

No. 5
# GGA-PBE Cr2TcSnC, relaxed
# Energy of formation in eV per atom: 0.076
# Symmetry: P4/mmm
data_Cr2TcSnC
_chemical_formula_sum 'Cr2 Tc1 Sn1 C1'
_space_group_name_H-M_alt 'P 1'
_space_group_IT_number 1
_cell_length_a 4.025
_cell_length_b 4.025
_cell_length_c 4.149
_cell_angle_alpha 90.00
_cell_angle_beta 90.00
_cell_angle_gamma 90.00
loop_
_space_group_symop_operation_xyz
'x,y,z'
loop_
_atom_site_label
_atom_site_fract_x
_atom_site_fract_y
_atom_site_fract_z
Cr1 0.000 0.500 0.000
Cr2 0.500 0.000 0.000
Tc1 0.000 0.000 0.500
Sn1 0.500 0.500 0.500
C1 0.000 0.000 0.000

---

No. 6
# GGA-PBE Mg4Cd7Sn, relaxed
# Energy of formation in eV per atom: -0.055
# Symmetry: P-1
data_Mg4Cd7Sn
_chemical_formula_sum 'Mg4 Cd7 Sn1'
_space_group_name_H-M_alt 'P 1'
_space_group_IT_number 1
_cell_length_a 6.156
_cell_length_b 7.152
_cell_length_c 7.197
_cell_angle_alpha 71.49
_cell_angle_beta 74.73
_cell_angle_gamma 65.63
loop_
_space_group_symop_operation_xyz
'x,y,z'
loop_
_atom_site_label
_atom_site_fract_x
_atom_site_fract_y
_atom_site_fract_z
Mg1 0.092 0.173 0.334
Mg2 0.337 0.661 0.326
Mg3 0.663 0.339 0.674
Mg4 0.908 0.827 0.666
Cd1 0.000 0.000 0.000
Cd2 0.160 0.342 0.665
Cd3 0.249 0.506 0.997
Cd4 0.403 0.831 0.650
Cd5 0.597 0.169 0.350
Cd6 0.751 0.494 0.003
Cd7 0.840 0.658 0.335
Sn1 0.500 0.000 0.000

---

No. 7
# GGA-PBE UTlBr6, relaxed
# Uncorrected energy in eV/f.u.: -33.00
# Symmetry: P-1
data_UTlBr6
_chemical_formula_sum 'U1 Tl1 Br6'
_space_group_name_H-M_alt 'P 1'
_space_group_IT_number 1
_cell_length_a 7.432
_cell_length_b 7.433
_cell_length_c 8.062
_cell_angle_alpha 89.99
_cell_angle_beta 62.59
_cell_angle_gamma 60.04
loop_
_space_group_symop_operation_xyz
'x,y,z'
loop_
_atom_site_label
_atom_site_fract_x
_atom_site_fract_y
_atom_site_fract_z
U1 0.000 0.000 0.000
Tl1 0.000 0.500 0.500
Br1 0.163 0.038 0.228
Br2 0.189 0.201 0.773
Br3 0.428 0.610 0.773
Br4 0.572 0.390 0.227
Br5 0.811 0.799 0.227
Br6 0.837 0.962 0.772

---

No. 8
# GGA-PBE Tb2DyGa2, relaxed
# Energy of formation in eV per atom: -0.519
# Symmetry: P4/mbm
data_Tb2DyGa2
_chemical_formula_sum 'Tb4 Dy2 Ga4'
_space_group_name_H-M_alt 'P 1'
_space_group_IT_number 1
_cell_length_a 7.649
_cell_length_b 7.649
_cell_length_c 4.365
_cell_angle_alpha 90.00
_cell_angle_beta 90.00
_cell_angle_gamma 90.00
loop_
_space_group_symop_operation_xyz
'x,y,z'
loop_
_atom_site_label
_atom_site_fract_x
_atom_site_fract_y
_atom_site_fract_z
Tb1 0.174 0.326 0.000
Tb2 0.326 0.826 0.000
Tb3 0.674 0.174 0.000
Tb4 0.826 0.674 0.000
Dy1 0.000 0.000 0.500
Dy2 0.500 0.500 0.500
Ga1 0.120 0.620 0.500
Ga2 0.380 0.120 0.500
Ga3 0.620 0.880 0.500
Ga4 0.880 0.380 0.500

---

No. 9
# GGA-PBE CsTl2OsO4, relaxed
# Uncorrected energy in eV/f.u.: -43.87
# Symmetry: I-4
data_CsTl2OsO4
_chemical_formula_sum 'Cs1 Tl2 Os1 O4'
_space_group_name_H-M_alt 'P 1'
_space_group_IT_number 1
_cell_length_a 6.161
_cell_length_b 6.161
_cell_length_c 6.161
_cell_angle_alpha 115.62
_cell_angle_beta 115.62
_cell_angle_gamma 97.78
loop_
_space_group_symop_operation_xyz
'x,y,z'
loop_
_atom_site_label
_atom_site_fract_x
_atom_site_fract_y
_atom_site_fract_z
Cs1 0.000 0.000 0.000
Tl1 0.250 0.750 0.500
Tl2 0.500 0.500 0.000
Os1 0.750 0.250 0.500
O1 0.002 0.109 0.537
O2 0.535 0.998 0.107
O3 0.572 0.465 0.463
O4 0.891 0.428 0.893

---

No. 10
# GGA-PBE Zr2ZnPt, relaxed
# Energy of formation in eV per atom: -0.336
# Symmetry: C2/m
data_Zr2ZnPt
_chemical_formula_sum 'Zr2 Zn1 Pt1'
_space_group_name_H-M_alt 'P 1'
_space_group_IT_number 1
_cell_length_a 4.370
_cell_length_b 4.370
_cell_length_c 6.156
_cell_angle_alpha 102.81
_cell_angle_beta 102.81
_cell_angle_gamma 46.59
loop_
_space_group_symop_operation_xyz
'x,y,z'
loop_
_atom_site_label
_atom_site_fract_x
_atom_site_fract_y
_atom_site_fract_z
Zr1 0.241 0.241 0.239
Zr2 0.759 0.759 0.761
Zn1 0.000 0.000 0.500
Pt1 0.500 0.500 0.000

---

No. 11
# GGA-PBE Ce2Ga2Ag, relaxed
# Energy of formation in eV per atom: -0.415
# Symmetry: C2/m
data_Ce2Ga2Ag
_chemical_formula_sum 'Ce4 Ga4 Ag2'
_space_group_name_H-M_alt 'P 1'
_space_group_IT_number 1
_cell_length_a 5.768
_cell_length_b 5.768
_cell_length_c 10.830
_cell_angle_alpha 116.47
_cell_angle_beta 116.47
_cell_angle_gamma 47.56
loop_
_space_group_symop_operation_xyz
'x,y,z'
loop_
_atom_site_label
_atom_site_fract_x
_atom_site_fract_y
_atom_site_fract_z
Ce1 0.060 0.060 0.406
Ce2 0.324 0.324 0.825
Ce3 0.676 0.676 0.175
Ce4 0.940 0.940 0.594
Ga1 0.065 0.065 0.927
Ga2 0.349 0.349 0.386
Ga3 0.651 0.651 0.614
Ga4 0.935 0.935 0.073
Ag1 0.362 0.362 0.143
Ag2 0.638 0.638 0.857

---

No. 12
# GGA-PBE LiYHf2Au, relaxed
# Energy of formation in eV per atom: 0.385
# Symmetry: P4/mmm
data_LiYHf2Au
_chemical_formula_sum 'Li1 Y1 Hf2 Au1'
_space_group_name_H-M_alt 'P 1'
_space_group_IT_number 1
_cell_length_a 5.217
_cell_length_b 5.217
_cell_length_c 4.769
_cell_angle_alpha 90.00
_cell_angle_beta 90.00
_cell_angle_gamma 90.00
loop_
_space_group_symop_operation_xyz
'x,y,z'
loop_
_atom_site_label
_atom_site_fract_x
_atom_site_fract_y
_atom_site_fract_z
Li1 0.000 0.000 0.000
Y1 0.500 0.500 0.000
Hf1 0.000 0.500 0.500
Hf2 0.500 0.000 0.500
Au1 0.000 0.000 0.500

---

No. 13
# GGA-PBE Ca2TaMnH, relaxed
# Uncorrected energy in eV/f.u.: -23.39
# Symmetry: P4/mmm
data_Ca2TaMnH
_chemical_formula_sum 'Ca2 Ta1 Mn1 H1'
_space_group_name_H-M_alt 'P 1'
_space_group_IT_number 1
_cell_length_a 5.687
_cell_length_b 5.687
_cell_length_c 4.401
_cell_angle_alpha 90.00
_cell_angle_beta 90.00
_cell_angle_gamma 90.00
loop_
_space_group_symop_operation_xyz
'x,y,z'
loop_
_atom_site_label
_atom_site_fract_x
_atom_site_fract_y
_atom_site_fract_z
Ca1 0.000 0.500 0.000
Ca2 0.500 0.000 0.000
Ta1 0.000 0.000 0.500
Mn1 0.000 0.000 0.000
H1 0.500 0.500 0.500

---

No. 14
# GGA-PBE SrMgHg2, relaxed
# Energy of formation in eV per atom: -0.374
# Symmetry: P2/m
data_SrMgHg2
_chemical_formula_sum 'Sr1 Mg1 Hg2'
_space_group_name_H-M_alt 'P 1'
_space_group_IT_number 1
_cell_length_a 3.602
_cell_length_b 3.831
_cell_length_c 7.664
_cell_angle_alpha 90.00
_cell_angle_beta 90.39
_cell_angle_gamma 90.00
loop_
_space_group_symop_operation_xyz
'x,y,z'
loop_
_atom_site_label
_atom_site_fract_x
_atom_site_fract_y
_atom_site_fract_z
Sr1 0.000 0.000 0.000
Mg1 0.000 0.000 0.500
Hg1 0.499 0.500 0.715
Hg2 0.501 0.500 0.285

---

No. 15
# GGA-PBE NbCoPS2, relaxed
# Uncorrected energy in eV/f.u.: -28.10
# Symmetry: P4/mmm
data_NbCoPS2
_chemical_formula_sum 'Nb1 Co1 P1 S2'
_space_group_name_H-M_alt 'P 1'
_space_group_IT_number 1
_cell_length_a 4.738
_cell_length_b 4.738
_cell_length_c 4.927
_cell_angle_alpha 90.00
_cell_angle_beta 90.00
_cell_angle_gamma 90.00
loop_
_space_group_symop_operation_xyz
'x,y,z'
loop_
_atom_site_label
_atom_site_fract_x
_atom_site_fract_y
_atom_site_fract_z
Nb1 0.000 0.000 0.000
Co1 0.500 0.500 0.500
P1 0.000 0.000 0.500
S1 0.000 0.500 0.000
S2 0.500 0.000 0.000

---

No. 16
# GGA-PBE YCd2Br, relaxed
# Uncorrected energy in eV/f.u.: -11.17
# Symmetry: I-42d
data_YCd2Br
_chemical_formula_sum 'Y2 Cd4 Br2'
_space_group_name_H-M_alt 'P 1'
_space_group_IT_number 1
_cell_length_a 6.921
_cell_length_b 6.921
_cell_length_c 6.921
_cell_angle_alpha 100.11
_cell_angle_beta 100.11
_cell_angle_gamma 130.47
loop_
_space_group_symop_operation_xyz
'x,y,z'
loop_
_atom_site_label
_atom_site_fract_x
_atom_site_fract_y
_atom_site_fract_z
Y1 0.000 0.000 0.000
Y2 0.750 0.250 0.500
Cd1 0.118 0.125 0.493
Cd2 0.375 0.882 0.007
Cd3 0.632 0.625 0.507
Cd4 0.875 0.368 0.993
Br1 0.250 0.750 0.500
Br2 0.500 0.500 0.000

---

No. 17
# GGA-PBE Zn5Mo, relaxed
# Energy of formation in eV per atom: 0.189
# Symmetry: P-62m
data_Zn5Mo
_chemical_formula_sum 'Zn5 Mo1'
_space_group_name_H-M_alt 'P 1'
_space_group_IT_number 1
_cell_length_a 4.986
_cell_length_b 4.986
_cell_length_c 4.139
_cell_angle_alpha 90.00
_cell_angle_beta 90.00
_cell_angle_gamma 120.00
loop_
_space_group_symop_operation_xyz
'x,y,z'
loop_
_atom_site_label
_atom_site_fract_x
_atom_site_fract_y
_atom_site_fract_z
Zn1 0.000 0.646 0.000
Zn2 0.333 0.667 0.500
Zn3 0.354 0.354 0.000
Zn4 0.646 0.000 0.000
Zn5 0.667 0.333 0.500
Mo1 0.000 0.000 0.500

---

No. 18
# GGA-PBE Zr5Ni, relaxed
# Energy of formation in eV per atom: -0.059
# Symmetry: Cmmm
data_Zr5Ni
_chemical_formula_sum 'Zr5 Ni1'
_space_group_name_H-M_alt 'P 1'
_space_group_IT_number 1
_cell_length_a 8.055
_cell_length_b 8.055
_cell_length_c 3.266
_cell_angle_alpha 90.00
_cell_angle_beta 90.00
_cell_angle_gamma 143.27
loop_
_space_group_symop_operation_xyz
'x,y,z'
loop_
_atom_site_label
_atom_site_fract_x
_atom_site_fract_y
_atom_site_fract_z
Zr1 0.000 0.000 0.000
Zr2 0.182 0.818 0.500
Zr3 0.361 0.639 0.000
Zr4 0.639 0.361 0.000
Zr5 0.818 0.182 0.500
Ni1 0.500 0.500 0.500

---

No. 19
# GGA-PBE K2SrTe, relaxed
# Uncorrected energy in eV/f.u.: -8.75
# Symmetry: R-3m
data_K2SrTe
_chemical_formula_sum 'K2 Sr1 Te1'
_space_group_name_H-M_alt 'P 1'
_space_group_IT_number 1
_cell_length_a 9.820
_cell_length_b 9.820
_cell_length_c 9.820
_cell_angle_alpha 31.60
_cell_angle_beta 31.60
_cell_angle_gamma 31.60
loop_
_space_group_symop_operation_xyz
'x,y,z'
loop_
_atom_site_label
_atom_site_fract_x
_atom_site_fract_y
_atom_site_fract_z
K1 0.216 0.216 0.216
K2 0.784 0.784 0.784
Sr1 0.000 0.000 0.000
Te1 0.500 0.500 0.500

---

No. 20
# GGA-PBE TeH2PdI, relaxed
# Uncorrected energy in eV/f.u.: -14.73
# Symmetry: P4/mmm
data_TeH2PdI
_chemical_formula_sum 'Te1 H2 Pd1 I1'
_space_group_name_H-M_alt 'P 1'
_space_group_IT_number 1
_cell_length_a 3.957
_cell_length_b 3.957
_cell_length_c 6.640
_cell_angle_alpha 90.00
_cell_angle_beta 90.00
_cell_angle_gamma 90.00
loop_
_space_group_symop_operation_xyz
'x,y,z'
loop_
_atom_site_label
_atom_site_fract_x
_atom_site_fract_y
_atom_site_fract_z
Te1 0.000 0.000 0.000
H1 0.000 0.500 0.000
H2 0.500 0.000 0.000
Pd1 0.500 0.500 0.500
I1 0.000 0.000 0.500